First-principles (PBE-GGA) data for a geometry-optimized ZrZnSb structure, as listed in the Alexandria database. Values from VASP.

Summary:
Spin magnetization in μB per formula unit: 0.000
Formation energy from raw total energies in meV/atom: 27
SG: F-43m

Geometry as Quantum ESPRESSO input:
```
&SYSTEM
  ibrav = 0, nat = 3, ntyp = 3
/
ATOMIC_SPECIES
Zn 65.41 Zn.upf
Zr 91.22 Zr.upf
Sb 121.76 Sb.upf
CELL_PARAMETERS angstrom
-3.741 -1.416 -2.561
-2.110 -4.144 0.968
-4.329 -0.062 1.953
ATOMIC_POSITIONS crystal
Zn 0.500 0.500 0.500
Zr 0.750 0.750 0.750
Sb 0.000 0.000 0.000
```

First-principles (PBE-GGA) data for a geometry-optimized ZrZnSb structure, as listed in the Alexandria database. Values from VASP.

Summary:
Spin magnetization in μB per formula unit: 0.000
Formation energy from raw total energies in meV/atom: -275
SG: P4/nmm

Geometry as Quantum ESPRESSO input:
```
&SYSTEM
  ibrav = 0, nat = 6, ntyp = 3
/
ATOMIC_SPECIES
Sb 121.76 Sb.upf
Zr 91.22 Zr.upf
Zn 65.41 Zn.upf
CELL_PARAMETERS angstrom
3.987 0.000 0.000
0.000 3.987 0.000
0.000 0.000 8.373
ATOMIC_POSITIONS crystal
Sb 0.000 0.500 0.355
Zr 0.000 0.500 0.723
Zn 0.000 0.000 0.000
Sb 0.500 0.000 0.645
Zn 0.500 0.500 0.000
Zr 0.500 0.000 0.277
```

Volume, respectively: 76, 67 Å³/f.u..
D(E_F), respectively: 3.3, 2.2 states/eV/f.u..